# 1
Below is an optimized crystal structure of SrLa2Ga2, with properties calculated at the PBE-GGA level.

Unit cell a=8.8160 b=8.8160 c=4.1016 alpha=90.00 beta=90.00 gamma=90.00
Last column: nearest neighbours and their distance in Å.
Fractional positions:
Ga 0.8750 0.6250 0.0000  1 Ga 3.12, 6 La 3.31, 2 Sr 3.48
Ga 0.6250 0.1250 0.0000  1 Ga 3.12, 6 La 3.31, 2 Sr 3.48
La 0.6661 0.8339 0.5000  6 Ga 3.31
Sr 0.0000 0.0000 0.0000  4 Ga 3.48, 8 La 3.87
La 0.3339 0.1661 0.5000  6 Ga 3.31
Ga 0.3750 0.8750 0.0000  1 Ga 3.12, 6 La 3.31, 2 Sr 3.48
Sr 0.5000 0.5000 0.0000  4 Ga 3.48, 8 La 3.87
La 0.1661 0.6661 0.5000  6 Ga 3.31
Ga 0.1250 0.3750 0.0000  1 Ga 3.12, 6 La 3.31, 2 Sr 3.48
La 0.8339 0.3339 0.5000  6 Ga 3.31

Values from the calculation:
**Space-group type**: P4/mbm (127)
**Polymorph energy (0 for the lowest one)**: 0 meV per atom


# 2
Below is an optimized crystal structure of KCd2Rh, with properties calculated at the PBE-GGA level.

Unit cell a=10.8562 b=10.8562 c=10.8562 alpha=16.47 beta=16.47 gamma=16.47
Last column: nearest neighbours and their distance in Å.
Fractional positions:
Rh 0.7424 0.7424 0.7424  3 Cd 2.77
K 0.4901 0.4901 0.4901  6 K 3.11, 3 Rh 3.16
Cd 0.2574 0.2574 0.2574  9 Cd 3.11-3.29
Cd 0.0101 0.0101 0.0101  3 Rh 2.77

Values from the calculation:
**Space-group type**: R3m (160)
**Polymorph energy (0 for the lowest one)**: 305 meV per atom


# 3
Below is an optimized crystal structure of BeCuOs2, with properties calculated at the PBE-GGA level.

Unit cell a=8.2992 b=8.2992 c=8.2992 alpha=18.69 beta=18.69 gamma=18.69
Last column: nearest neighbours and their distance in Å.
Fractional positions:
Cu 0.7570 0.7570 0.7570  3 Be 2.41, 6 Cu 2.69
Be 0.4991 0.4991 0.4991  3 Cu 2.41, 3 Os 2.48, 6 Be 2.69
Os 0.9994 0.9994 0.9994  9 Os 2.66-2.69, 3 Cu 2.71
Os 0.2445 0.2445 0.2445  3 Be 2.48, 9 Os 2.66-2.69

Values from the calculation:
**Space-group type**: R3m (160)


# 4
Below is an optimized crystal structure of LiMnCr2, with properties calculated at the PBE-GGA level.

Unit cell a=4.7716 b=4.7787 c=2.3455 alpha=80.80 beta=80.14 gamma=117.21
Last column: nearest neighbours and their distance in Å.
Fractional positions:
Cr 0.0000 0.0000 0.0000  4 Cr 2.35-2.47, 2 Mn 2.49, 2 Li 2.49
Cr 0.5000 0.0000 0.5000  4 Cr 2.35-2.47, 2 Li 2.49, 2 Mn 2.49
Mn 0.5000 0.5000 0.0000  2 Mn 2.35, 2 Li 2.47, 4 Cr 2.49
Li 0.0000 0.5000 0.5000  2 Li 2.35, 2 Mn 2.47, 4 Cr 2.49

Values from the calculation:
**Space-group type**: C2/m (12)
**Polymorph energy (0 for the lowest one)**: 92 meV per atom


no.,energy relative to the elements (eV/atom)
1,-0.39
2,0.33
3,0.18
4,0.34